Er3InIr: relaxed, PBE.

Output
The calculation puts the energy above the most stable polymorph in this dataset at 0.103 eV/atom. The calculation puts the total magnetization at 0.0 μB per cell. For the formation enthalpy at 0 K, the calculation gives -48.4 kJ/mol of atoms. As for the symmetry: C2/m.

Unit cell a=5.362 b=5.075 c=9.861 alpha=104.91 beta=95.07 gamma=90.00
Element x y z (fractional)
Er  0.828  0.178  0.356
Er  0.644  0.341  0.682
In  0.796  0.554  0.108
Ir  0.670  0.787  0.575
Er  0.269  0.054  0.108
In  0.204  0.446  0.892
Ir  0.330  0.213  0.425
Er  0.731  0.946  0.892
Er  0.356  0.659  0.318
Er  0.172  0.822  0.644